Below is a relaxed Tb2GdSi crystal, with properties calculated at the GGA-PBE level.

Values from the calculation:
The crystal system is trigonal. As for the uncorrected energy: -88.11 eV/cell. The value obtained for the density of states at the Fermi level is 1.617 states/eV/atom. The formation energy from raw total energies comes out at -152 meV/atom.

Cell lengths 3.7084, 3.7084, 29.6248 Å; angles 90.00, 90.00, 120.00 degrees
Space group R-3m (No. 166, hexagonal axes)
Inequivalent atoms, fractional coordinates:
1 Tb 0.0000 0.0000 0.2309
2 Gd 0.0000 0.0000 0.0000
3 Si 0.0000 0.0000 0.5000

---

Below is a relaxed Tb2GdSi crystal, with properties calculated at the GGA-PBE level.

Values from the calculation:
The crystal system is tetragonal. As for the uncorrected energy: -29.84 eV/cell. The value obtained for the density of states at the Fermi level is 1.058 states/eV/atom. The formation energy from raw total energies comes out at -270 meV/atom.

Cell lengths 4.671, 4.671, 4.617 Å; angles 90.00, 90.00, 90.00 degrees
Space group P4/mmm (No. 123)
Inequivalent atoms, fractional coordinates:
1 Tb 0.000 0.500 0.000
2 Gd 0.000 0.000 0.500
3 Si 0.500 0.500 0.500

---

Below is a relaxed GdSi2Tc crystal, with properties calculated at the GGA-PBE level.

Values from the calculation:
The crystal system is trigonal. As for the uncorrected energy: -93.17 eV/cell. The value obtained for the density of states at the Fermi level is 0.883 states/eV/atom. The formation energy from raw total energies comes out at 1059 meV/atom.

Cell lengths 4.7295, 4.7295, 18.0197 Å; angles 90.00, 90.00, 120.00 degrees
Space group R-3m (No. 166, hexagonal axes)
Inequivalent atoms, fractional coordinates:
1 Gd 0.0000 0.0000 0.0000
2 Si 0.0000 0.0000 0.3710
3 Tc 0.0000 0.0000 0.5000

---

Below is a relaxed GdSi2Tc crystal, with properties calculated at the GGA-PBE level.

Values from the calculation:
The crystal system is tetragonal. As for the uncorrected energy: -37.27 eV/cell. The value obtained for the density of states at the Fermi level is 0.629 states/eV/atom. The formation energy from raw total energies comes out at -494 meV/atom.

Cell lengths 3.134, 3.134, 6.879 Å; angles 90.00, 90.00, 90.00 degrees
Space group P4/mmm (No. 123)
Inequivalent atoms, fractional coordinates:
1 Gd 0.000 0.000 0.000
2 Si 0.500 0.500 0.309
3 Tc 0.000 0.000 0.500

---

Below is a relaxed Gd2SiTe crystal, with properties calculated at the GGA-PBE level.

Values from the calculation:
The crystal system is trigonal. As for the uncorrected energy: -123.48 eV/cell. The value obtained for the density of states at the Fermi level is 0.250 states/eV/atom. The formation energy from raw total energies comes out at -1109 meV/atom.

Cell lengths 4.2661, 4.2661, 21.5152 Å; angles 90.00, 90.00, 120.00 degrees
Space group R-3m (No. 166, hexagonal axes)
Inequivalent atoms, fractional coordinates:
1 Gd 0.0000 0.0000 0.2401
2 Si 0.0000 0.0000 0.5000
3 Te 0.0000 0.0000 0.0000

---

Below is a relaxed Gd2ThSi crystal, with properties calculated at the GGA-PBE level.

Values from the calculation:
The crystal system is tetragonal. As for the uncorrected energy: -41.91 eV/cell. The value obtained for the density of states at the Fermi level is 1.006 states/eV/atom. The formation energy from raw total energies comes out at -227 meV/atom.

Cell lengths 4.675, 4.675, 4.759 Å; angles 90.00, 90.00, 90.00 degrees
Space group P4/mmm (No. 123)
Inequivalent atoms, fractional coordinates:
1 Gd 0.000 0.500 0.000
2 Th 0.000 0.000 0.500
3 Si 0.500 0.500 0.500

---

Below is a relaxed GdThSi crystal, with properties calculated at the GGA-PBE level.

Values from the calculation:
The crystal system is cubic. As for the uncorrected energy: -111.66 eV/cell. The value obtained for the density of states at the Fermi level is 0.669 states/eV/atom. The formation energy from raw total energies comes out at -330 meV/atom.

Cell lengths 6.964, 6.964, 6.964 Å; angles 90.00, 90.00, 90.00 degrees
Space group F-43m (No. 216)
Inequivalent atoms, fractional coordinates:
1 Gd 0.000 0.000 0.000
2 Th 0.000 0.000 0.500
3 Si 0.250 0.250 0.250

---

Below is a relaxed Gd2ThSi crystal, with properties calculated at the GGA-PBE level.

Values from the calculation:
The crystal system is tetragonal. As for the uncorrected energy: -41.99 eV/cell. The value obtained for the density of states at the Fermi level is 1.529 states/eV/atom. The formation energy from raw total energies comes out at -247 meV/atom.

Cell lengths 3.790, 3.790, 7.373 Å; angles 90.00, 90.00, 90.00 degrees
Space group P4/mmm (No. 123)
Inequivalent atoms, fractional coordinates:
1 Gd 0.000 0.000 0.201
2 Th 0.500 0.500 0.500
3 Si 0.500 0.500 0.000

---

Below is a relaxed GdThSi crystal, with properties calculated at the GGA-PBE level.

Values from the calculation:
The crystal system is trigonal. As for the uncorrected energy: -27.37 eV/cell. The value obtained for the density of states at the Fermi level is 1.105 states/eV/atom. The formation energy from raw total energies comes out at -147 meV/atom.

Cell lengths 4.7053, 4.7053, 4.1911 Å; angles 90.00, 90.00, 120.00 degrees
Space group P3m1 (No. 156)
Inequivalent atoms, fractional coordinates:
1 Gd 0.0000 0.0000 0.0000
2 Th 0.6667 0.3333 0.4687
3 Si 0.3333 0.6667 0.7894

---

Below is a relaxed GdTiSi2 crystal, with properties calculated at the GGA-PBE level.

Values from the calculation:
The crystal system is trigonal. As for the uncorrected energy: -104.58 eV/cell. The value obtained for the density of states at the Fermi level is 0.516 states/eV/atom. The formation energy from raw total energies comes out at -510 meV/atom.

Cell lengths 4.1834, 4.1834, 15.5825 Å; angles 90.00, 90.00, 120.00 degrees
Space group R-3m (No. 166, hexagonal axes)
Inequivalent atoms, fractional coordinates:
1 Gd 0.0000 0.0000 0.0000
2 Ti 0.0000 0.0000 0.5000
3 Si 0.0000 0.0000 0.2270

---

Below is a relaxed Gd2TlSi crystal, with properties calculated at the GGA-PBE level.

Values from the calculation:
The crystal system is tetragonal. As for the uncorrected energy: -37.72 eV/cell. The value obtained for the density of states at the Fermi level is 0.942 states/eV/atom. The formation energy from raw total energies comes out at -442 meV/atom.

Cell lengths 3.803, 3.803, 6.944 Å; angles 90.00, 90.00, 90.00 degrees
Space group P4/mmm (No. 123)
Inequivalent atoms, fractional coordinates:
1 Gd 0.000 0.000 0.219
2 Tl 0.500 0.500 0.500
3 Si 0.500 0.500 0.000

---

Below is a relaxed Gd2TmSi crystal, with properties calculated at the GGA-PBE level.

Values from the calculation:
The crystal system is tetragonal. As for the uncorrected energy: -39.13 eV/cell. The value obtained for the density of states at the Fermi level is 1.245 states/eV/atom. The formation energy from raw total energies comes out at -268 meV/atom.

Cell lengths 4.618, 4.618, 4.672 Å; angles 90.00, 90.00, 90.00 degrees
Space group P4/mmm (No. 123)
Inequivalent atoms, fractional coordinates:
1 Gd 0.000 0.500 0.000
2 Tm 0.000 0.000 0.500
3 Si 0.500 0.500 0.500

---

Below is a relaxed GdTmSi crystal, with properties calculated at the GGA-PBE level.

Values from the calculation:
The crystal system is tetragonal. As for the uncorrected energy: -49.96 eV/cell. The value obtained for the density of states at the Fermi level is 1.083 states/eV/atom. The formation energy from raw total energies comes out at -335 meV/atom.

Cell lengths 3.759, 3.759, 10.305 Å; angles 90.00, 90.00, 90.00 degrees
Space group I4mm (No. 107)
Inequivalent atoms, fractional coordinates:
1 Gd 0.000 0.000 0.000
2 Tm 0.000 0.000 0.709
3 Si 0.000 0.000 0.344

---

Below is a relaxed GdTmSi crystal, with properties calculated at the GGA-PBE level.

Values from the calculation:
The crystal system is cubic. As for the uncorrected energy: -101.46 eV/cell. The value obtained for the density of states at the Fermi level is 1.034 states/eV/atom. The formation energy from raw total energies comes out at -464 meV/atom.

Cell lengths 6.818, 6.818, 6.818 Å; angles 90.00, 90.00, 90.00 degrees
Space group F-43m (No. 216)
Inequivalent atoms, fractional coordinates:
1 Gd 0.000 0.000 0.000
2 Tm 0.000 0.000 0.500
3 Si 0.250 0.250 0.750

---

Below is a relaxed GdUSi2 crystal, with properties calculated at the GGA-PBE level.

Values from the calculation:
The crystal system is trigonal. As for the uncorrected energy: -111.41 eV/cell. The value obtained for the density of states at the Fermi level is 1.541 states/eV/atom. The formation energy from raw total energies comes out at -230 meV/atom.

Cell lengths 4.1089, 4.1089, 19.7935 Å; angles 90.00, 90.00, 120.00 degrees
Space group R-3m (No. 166, hexagonal axes)
Inequivalent atoms, fractional coordinates:
1 Gd 0.0000 0.0000 0.0000
2 U 0.0000 0.0000 0.5000
3 Si 0.0000 0.0000 0.2431

---

Below is a relaxed GdSi2W crystal, with properties calculated at the GGA-PBE level.

Values from the calculation:
The crystal system is trigonal. As for the uncorrected energy: -115.60 eV/cell. The value obtained for the density of states at the Fermi level is 0.732 states/eV/atom. The formation energy from raw total energies comes out at -163 meV/atom.

Cell lengths 3.7701, 3.7701, 18.9480 Å; angles 90.00, 90.00, 120.00 degrees
Space group R-3m (No. 166, hexagonal axes)
Inequivalent atoms, fractional coordinates:
1 Gd 0.0000 0.0000 0.0000
2 Si 0.0000 0.0000 0.2352
3 W 0.0000 0.0000 0.5000